Entry 1:
The following is a GGA-PBE calculation of a relaxed structure of KPrGaSe3, from the Open Quantum Materials Database.

Unit cell a=11.654 b=4.765 c=12.392 alpha=90.00 beta=90.00 gamma=90.00
Space group Pnma (No. 62)
Unique sites:
K1 0.173 0.250 0.005 [4 per cell]
Pr1 0.021 0.250 0.327 [4 per cell]
Ga1 0.241 0.250 0.726 [4 per cell]
Se1 0.053 0.750 0.169 [4 per cell]
Se2 0.103 0.250 0.562 [4 per cell]
Se3 0.214 0.750 0.797 [4 per cell]

DFT total energy ... -4.48 eV/atom
E above lowest polymorph ... 0 meV per atom
Mass density ... 4.7 g cm⁻³
Size of the total moment ... 0.00 μB per atom

Entry 2:
The following is a GGA-PBE calculation of a relaxed structure of PmSnN4, from the Open Quantum Materials Database.

Unit cell a=7.236 b=7.374 c=3.641 alpha=90.00 beta=90.00 gamma=90.00
Space group Cmmm (No. 65)
Unique sites:
Pm1 0.000 0.000 0.000 [2 per cell]
Sn1 0.000 0.500 0.500 [2 per cell]
N1 0.000 0.326 0.000 [4 per cell]
N2 0.212 0.000 0.500 [4 per cell]

DFT total energy ... -6.01 eV/atom
Mass density ... 5.5 g cm⁻³
Size of the total moment ... 0.83 μB per atom

Entry 3:
The following is a GGA-PBE calculation of a relaxed structure of LiHf2Sb, from the Open Quantum Materials Database.

Unit cell a=6.868 b=6.868 c=6.868 alpha=90.00 beta=90.00 gamma=90.00
Space group F-43m (No. 216)
Unique sites:
Li1 0.000 0.000 0.000 [4 per cell]
Hf1 0.000 0.000 0.500 [4 per cell]
Hf2 0.250 0.250 0.250 [4 per cell]
Sb1 0.250 0.250 0.750 [4 per cell]

DFT total energy ... -6.34 eV/atom
Mass density ... 10.0 g cm⁻³
Size of the total moment ... 0.00 μB per atom